Entry 1:
# HfNiO3

A relaxed HfNiO3 crystal (PBE with a Hubbard U, the Alexandria database).

```
HfNiO3
1.0
-3.307 1.787 1.468
-1.907 -0.658 -3.495
-1.309 -3.558 1.383
Ni Hf O
1 1 3
Direct
0.500 0.500 0.500
0.000 0.000 0.000
0.000 0.500 0.000
0.000 0.000 0.500
0.500 0.000 0.000
```

Calculated values
Total DFT energy (no corrections) ... -7.013 eV/atom
Magnetic moment ... 2.0 Bohr magnetons per cell

---

Entry 2:
# HfNiO2

A relaxed HfNiO2 crystal (PBE with a Hubbard U, the Alexandria database).

```
HfNiO2
1.0
3.781 -4.262 1.638
5.199 -2.677 -0.975
5.378 -1.333 2.109
Ni Hf O
1 1 2
Direct
0.000 0.000 0.000
0.500 0.500 0.500
0.885 0.885 0.885
0.115 0.115 0.115
```

Calculated values
Total DFT energy (no corrections) ... -7.561 eV/atom
Distance to the lowest polymorph of the same formula ... 145 meV per atom
Magnetic moment ... 0.1 Bohr magnetons per cell

---

Entry 3:
# HfNi2O4

A relaxed HfNi2O4 crystal (PBE with a Hubbard U, the Alexandria database).

```
HfNi2O4
1.0
-3.210 -4.691 -2.309
-0.235 -2.577 5.562
-7.450 4.277 1.667
Hf Ni O
4 8 16
Direct
0.000 0.724 0.500
0.276 0.000 0.750
0.724 0.000 0.250
0.000 0.276 0.000
0.756 0.756 0.875
0.244 0.756 0.125
0.756 0.244 0.625
0.244 0.244 0.375
0.732 0.500 0.250
0.500 0.268 0.000
0.500 0.732 0.500
0.268 0.500 0.750
0.246 0.976 0.513
0.754 0.976 0.487
0.024 0.246 0.763
0.754 0.024 0.013
0.249 0.495 0.992
0.505 0.249 0.242
0.495 0.751 0.742
0.249 0.505 0.508
0.751 0.495 0.008
0.751 0.505 0.492
0.495 0.249 0.758
0.505 0.751 0.258
0.976 0.246 0.237
0.246 0.024 0.987
0.976 0.754 0.263
0.024 0.754 0.737
```

Calculated values
Total DFT energy (no corrections) ... -7.034 eV/atom
Magnetic moment ... 16.0 Bohr magnetons per cell

---

Entry 4:
# HfNiO2

A relaxed HfNiO2 crystal (PBE with a Hubbard U, the Alexandria database).

```
HfNiO2
1.0
4.990 -3.274 2.107
6.219 -1.171 0.101
5.532 -0.316 3.060
Ni Hf O
1 1 2
Direct
0.500 0.500 0.500
0.000 0.000 0.000
0.892 0.892 0.892
0.108 0.108 0.108
```

Calculated values
Total DFT energy (no corrections) ... -7.098 eV/atom
Distance to the lowest polymorph of the same formula ... 608 meV per atom
Magnetic moment ... 2.0 Bohr magnetons per cell

---

Entry 5:
# HfNiO3

A relaxed HfNiO3 crystal (PBE with a Hubbard U, the Alexandria database).

```
HfNiO3
1.0
-2.693 4.222 1.890
-2.097 -2.899 3.488
4.010 -1.258 8.523
Hf Ni O
4 4 12
Direct
0.427 0.792 0.750
0.927 0.208 0.750
0.073 0.792 0.250
0.573 0.208 0.250
0.000 0.500 0.000
0.000 0.000 0.500
0.500 0.000 0.000
0.500 0.500 0.500
0.919 0.419 0.250
0.694 0.103 0.589
0.694 0.781 0.911
0.194 0.219 0.589
0.194 0.897 0.911
0.419 0.581 0.250
0.581 0.419 0.750
0.806 0.103 0.089
0.806 0.781 0.411
0.306 0.219 0.089
0.306 0.897 0.411
0.081 0.581 0.750
```

Calculated values
Total DFT energy (no corrections) ... -7.957 eV/atom
Magnetic moment ... 8.0 Bohr magnetons per cell

---

Entry 6:
# HfNiO3

A relaxed HfNiO3 crystal (PBE with a Hubbard U, the Alexandria database).

```
HfNiO3
1.0
5.169 -0.021 -2.326
-1.126 4.460 -2.542
-0.313 -0.187 5.243
Hf Ni O
2 2 6
Direct
0.023 0.007 0.515
0.523 0.508 0.515
0.910 0.303 0.106
0.410 0.803 0.106
0.718 0.605 0.004
0.718 0.899 0.613
0.718 0.213 0.318
0.218 0.105 0.318
0.218 0.400 0.004
0.218 0.713 0.613
```

Calculated values
Total DFT energy (no corrections) ... -8.007 eV/atom
Magnetic moment ... 4.0 Bohr magnetons per cell

---

Entry 7:
# HfNiO3

A relaxed HfNiO3 crystal (PBE with a Hubbard U, the Alexandria database).

```
HfNiO3
1.0
3.685 0.000 0.000
0.000 3.685 0.000
0.000 0.000 3.685
Ni Hf O
1 1 3
Direct
0.000 0.000 0.000
0.500 0.500 0.500
0.000 0.500 0.000
0.000 0.000 0.500
0.500 0.000 0.000
```

Calculated values
Total DFT energy (no corrections) ... -6.852 eV/atom
Magnetic moment ... 1.7 Bohr magnetons per cell

---

Entry 8:
# Hf4Ni2O

A relaxed Hf4Ni2O crystal (PBE with a Hubbard U, the Alexandria database).

```
Hf4Ni2O
1.0
-3.236 2.247 1.680
-1.471 -3.543 1.905
1.193 0.633 6.912
Ni Hf O
2 4 1
Direct
0.623 0.623 0.755
0.377 0.377 0.245
0.808 0.808 0.384
0.192 0.192 0.616
0.000 0.500 0.000
0.500 0.000 0.000
0.000 0.000 0.000
```

Calculated values
Total DFT energy (no corrections) ... -7.598 eV/atom
Magnetic moment ... 0.0 Bohr magnetons per cell